No. 1
# YHo2Hg8 (PBE, relaxed)
# * crystal system: orthorhombic
# * magnetic moment: 0.0 μB per formula unit
# * DFT total energy: -1.938 eV/atom
# * formation enthalpy at 0 K: -3.29 eV per formula unit
# * SG: Immm (71)
data_YHo2Hg8
_symmetry_space_group_name_H-M 'P 1'
_symmetry_Int_Tables_number 1
_cell_length_a 5.062
_cell_length_b 7.457
_cell_length_c 8.509
_cell_angle_alpha 115.99
_cell_angle_beta 107.31
_cell_angle_gamma 90.00
loop_
_symmetry_equiv_pos_as_xyz
'x,y,z'
loop_
_atom_site_label
_atom_site_fract_x
_atom_site_fract_y
_atom_site_fract_z
_atom_site_occupancy
Y1 0.500 0.000 0.000 1
Ho1 0.195 0.695 0.390 1
Ho2 0.805 0.305 0.610 1
Hg1 0.646 0.857 0.293 1
Hg2 0.354 0.564 0.707 1
Hg3 0.156 0.156 0.313 1
Hg4 0.000 0.293 0.000 1
Hg5 0.844 0.844 0.687 1
Hg6 0.646 0.436 0.293 1
Hg7 0.354 0.143 0.707 1
Hg8 0.000 0.707 0.000 1



No. 2
# La3Ga2Pd3 (PBE, relaxed)
# * crystal system: orthorhombic
# * magnetic moment: 0.0 μB per formula unit
# * DFT total energy: -5.365 eV/atom
# * formation enthalpy at 0 K: -6.51 eV per formula unit
# * SG: Cmcm (63)
data_La3Ga2Pd3
_symmetry_space_group_name_H-M 'P 1'
_symmetry_Int_Tables_number 1
_cell_length_a 4.495
_cell_length_b 6.102
_cell_length_c 14.607
_cell_angle_alpha 90.00
_cell_angle_beta 90.00
_cell_angle_gamma 111.61
loop_
_symmetry_equiv_pos_as_xyz
'x,y,z'
loop_
_atom_site_label
_atom_site_fract_x
_atom_site_fract_y
_atom_site_fract_z
_atom_site_occupancy
La1 0.916 0.831 0.395 1
La2 0.084 0.169 0.895 1
La3 0.916 0.831 0.105 1
La4 0.084 0.169 0.605 1
La5 0.634 0.268 0.250 1
La6 0.366 0.732 0.750 1
Ga1 0.788 0.576 0.909 1
Ga2 0.212 0.424 0.409 1
Ga3 0.788 0.576 0.591 1
Ga4 0.212 0.424 0.091 1
Pd1 0.614 0.229 0.457 1
Pd2 0.386 0.771 0.957 1
Pd3 0.614 0.229 0.043 1
Pd4 0.386 0.771 0.543 1
Pd5 0.326 0.651 0.250 1
Pd6 0.674 0.349 0.750 1



No. 3
# RbNp2HgCl8 (PBE, relaxed)
# * crystal system: trigonal
# * magnetic moment: 7.0 μB per formula unit
# * DFT total energy: -4.995 eV/atom
# * formation energy (no corrections): -18.01 eV per formula unit
# * SG: P-3 (147)
data_RbNp2HgCl8
_symmetry_space_group_name_H-M 'P 1'
_symmetry_Int_Tables_number 1
_cell_length_a 7.759
_cell_length_b 7.759
_cell_length_c 7.804
_cell_angle_alpha 90.00
_cell_angle_beta 90.00
_cell_angle_gamma 120.00
loop_
_symmetry_equiv_pos_as_xyz
'x,y,z'
loop_
_atom_site_label
_atom_site_fract_x
_atom_site_fract_y
_atom_site_fract_z
_atom_site_occupancy
Rb1 0.000 0.000 0.500 1
Np1 0.667 0.333 0.074 1
Np2 0.333 0.667 0.926 1
Hg1 0.000 0.000 0.000 1
Cl1 0.949 0.588 0.837 1
Cl2 0.412 0.361 0.837 1
Cl3 0.639 0.051 0.837 1
Cl4 0.051 0.412 0.163 1
Cl5 0.588 0.639 0.163 1
Cl6 0.361 0.949 0.163 1
Cl7 0.667 0.333 0.404 1
Cl8 0.333 0.667 0.596 1



No. 4
# TlTe2Au (PBE, relaxed)
# * crystal system: tetragonal
# * magnetic moment: 0.0 μB per formula unit
# * DFT total energy: -2.802 eV/atom
# * formation energy (no corrections): 0.72 eV per formula unit
# * SG: P4mm (99)
data_TlTe2Au
_symmetry_space_group_name_H-M 'P 1'
_symmetry_Int_Tables_number 1
_cell_length_a 3.825
_cell_length_b 3.825
_cell_length_c 7.643
_cell_angle_alpha 90.00
_cell_angle_beta 90.00
_cell_angle_gamma 90.00
loop_
_symmetry_equiv_pos_as_xyz
'x,y,z'
loop_
_atom_site_label
_atom_site_fract_x
_atom_site_fract_y
_atom_site_fract_z
_atom_site_occupancy
Au1 0.500 0.500 0.769 1
Te1 0.000 0.000 0.989 1
Te2 0.500 0.500 0.201 1
Tl1 0.000 0.000 0.541 1